<i>
Below is crystalline BiPb3N at its relaxed geometry, with properties calculated at the PBE level.

Unit cell a=5.128 b=5.128 c=5.128 alpha=90.00 beta=90.00 gamma=90.00
Positions (direct):
1 Bi 0.000 0.000 0.000
2 Pb 0.000 0.500 0.500
3 Pb 0.500 0.000 0.500
4 Pb 0.500 0.500 0.000
5 N 0.500 0.500 0.500

Computed properties:
Total magnetization (μB per formula unit): 0.00
Symmetry: Pm-3m



<ii>
Below is crystalline BiPb3N at its relaxed geometry, with properties calculated at the PBE level.

Unit cell a=6.019 b=6.019 c=6.019 alpha=90.00 beta=90.00 gamma=90.00
Positions (direct):
1 Bi 0.000 0.000 0.000
2 Pb 0.000 0.000 0.500
3 Pb 0.000 0.500 0.000
4 Pb 0.500 0.000 0.000
5 N 0.500 0.500 0.500

Computed properties:
Total magnetization (μB per formula unit): 0.00
Symmetry: Pm-3m



Most favorable structure: <i>. The second most favorable one is 1391 meV per atom above it.



<i>
Below is crystalline BiPd2N at its relaxed geometry, with properties calculated at the PBE level.

Unit cell a=6.960 b=6.960 c=6.960 alpha=136.99 beta=136.99 gamma=62.45
Positions (direct):
1 Bi 0.000 0.000 0.000
2 Bi 0.750 0.250 0.500
3 Pd 0.275 0.625 0.150
4 Pd 0.375 0.525 0.650
5 Pd 0.475 0.125 0.850
6 Pd 0.875 0.725 0.350
7 N 0.250 0.750 0.500
8 N 0.500 0.500 0.000

Computed properties:
Total magnetization (μB per formula unit): 0.00
Symmetry: I-42d



<ii>
Below is crystalline BiPd2N at its relaxed geometry, with properties calculated at the PBE level.

Unit cell a=4.504 b=4.504 c=4.504 alpha=60.00 beta=60.00 gamma=60.00
Positions (direct):
1 Bi 0.000 0.000 0.000
2 Pd 0.250 0.250 0.250
3 Pd 0.750 0.750 0.750
4 N 0.500 0.500 0.500

Computed properties:
Total magnetization (μB per formula unit): 0.33
Symmetry: Fm-3m



Most favorable structure: <i>. The second most favorable one is 484 meV per atom above it.



<i>
Below is crystalline BiPdSN2 at its relaxed geometry, with properties calculated at the PBE level.

Unit cell a=4.267 b=4.267 c=5.438 alpha=90.00 beta=90.00 gamma=90.00
Positions (direct):
1 Bi 0.000 0.000 0.000
2 Pd 0.500 0.500 0.500
3 S 0.000 0.000 0.500
4 N 0.000 0.500 0.000
5 N 0.500 0.000 0.000

Computed properties:
Total magnetization (μB per formula unit): 2.87
Symmetry: P4/mmm



<ii>
Below is crystalline BiPdSN2 at its relaxed geometry, with properties calculated at the PBE level.

Unit cell a=4.085 b=4.085 c=4.876 alpha=90.00 beta=90.00 gamma=90.00
Positions (direct):
1 Bi 0.000 0.000 0.000
2 Pd 0.500 0.500 0.500
3 S 0.500 0.500 0.000
4 N 0.000 0.500 0.500
5 N 0.500 0.000 0.500

Computed properties:
Total magnetization (μB per formula unit): 2.20
Symmetry: P4/mmm



Most favorable structure: <ii>. The second most favorable one is 580 meV per atom above it.



<i>
Below is crystalline BiPdS2N at its relaxed geometry, with properties calculated at the PBE level.

Unit cell a=5.240 b=5.240 c=4.353 alpha=90.00 beta=90.00 gamma=90.00
Positions (direct):
1 Bi 0.000 0.000 0.000
2 Pd 0.500 0.500 0.500
3 S 0.000 0.500 0.000
4 S 0.500 0.000 0.000
5 N 0.000 0.000 0.500

Computed properties:
Total magnetization (μB per formula unit): 2.98
Symmetry: P4/mmm



<ii>
Below is crystalline BiPdS2N at its relaxed geometry, with properties calculated at the PBE level.

Unit cell a=4.980 b=4.980 c=3.763 alpha=90.00 beta=90.00 gamma=90.00
Positions (direct):
1 Bi 0.000 0.000 0.000
2 Pd 0.500 0.500 0.500
3 S 0.000 0.500 0.500
4 S 0.500 0.000 0.500
5 N 0.500 0.500 0.000

Computed properties:
Total magnetization (μB per formula unit): 0.48
Symmetry: P4/mmm



Most favorable structure: <ii>. The second most favorable one is 797 meV per atom above it.



<i>
Below is crystalline Pm4Bi2N at its relaxed geometry, with properties calculated at the PBE level.

Unit cell a=9.035 b=9.035 c=9.035 alpha=148.78 beta=148.78 gamma=44.73
Positions (direct):
1 Pm 0.000 0.500 0.500
2 Pm 0.159 0.159 0.000
3 Pm 0.500 0.000 0.500
4 Pm 0.841 0.841 0.000
5 Bi 0.356 0.356 0.000
6 Bi 0.644 0.644 0.000
7 N 0.000 0.000 0.000

Computed properties:
Total magnetization (μB per formula unit): 0.00
Symmetry: I4/mmm



<ii>
Below is crystalline Pm4Bi2N at its relaxed geometry, with properties calculated at the PBE level.

Unit cell a=6.604 b=6.604 c=8.548 alpha=113.50 beta=113.50 gamma=34.96
Positions (direct):
1 Pm 0.053 0.053 0.314
2 Pm 0.360 0.360 0.949
3 Pm 0.640 0.640 0.051
4 Pm 0.947 0.947 0.686
5 Bi 0.339 0.339 0.326
6 Bi 0.661 0.661 0.674
7 N 0.000 0.000 0.000

Computed properties:
Total magnetization (μB per formula unit): 0.00
Symmetry: C2/m



Most favorable structure: <i>. The second most favorable one is 50 meV per atom above it.



<i>
Below is crystalline BiPtSeN2 at its relaxed geometry, with properties calculated at the PBE level.

Unit cell a=4.238 b=4.238 c=5.822 alpha=90.00 beta=90.00 gamma=90.00
Positions (direct):
1 Bi 0.000 0.000 0.000
2 Pt 0.500 0.500 0.500
3 Se 0.000 0.000 0.500
4 N 0.000 0.500 0.000
5 N 0.500 0.000 0.000

Computed properties:
Total magnetization (μB per formula unit): 2.86
Symmetry: P4/mmm



<ii>
Below is crystalline BiPtSeN2 at its relaxed geometry, with properties calculated at the PBE level.

Unit cell a=4.065 b=4.065 c=5.292 alpha=90.00 beta=90.00 gamma=90.00
Positions (direct):
1 Bi 0.000 0.000 0.000
2 Pt 0.500 0.500 0.500
3 Se 0.500 0.500 0.000
4 N 0.000 0.500 0.500
5 N 0.500 0.000 0.500

Computed properties:
Total magnetization (μB per formula unit): 1.75
Symmetry: P4/mmm



Most favorable structure: <ii>. The second most favorable one is 746 meV per atom above it.